# 1
# La2Sc

La2Sc at its PBEsol-relaxed geometry (meta-GGA SCAN, Alexandria via LeMat-Bulk).

## Properties
Fermi-level density of states = 3.818 states/eV/f.u.
Energy of formation = 0.082 eV/atom
Magnetic moment = 0.00 Bohr magnetons per cell
Total energy = -33.4006 eV per atom
Relative energy among the computed polymorphs = 32 meV per atom

```
data_La2Sc
_symmetry_space_group_name_H-M 'R 3 2'
_symmetry_Int_Tables_number 155
_symmetry_space_group_name_Hall 'R 3 2"'
_cell_length_a 6.1417
_cell_length_b 6.1417
_cell_length_c 16.7648
_cell_angle_alpha 90.00
_cell_angle_beta 90.00
_cell_angle_gamma 120.00
loop_
_atom_site_label
_atom_site_type_symbol
_atom_site_fract_x
_atom_site_fract_y
_atom_site_fract_z
La1 La 0.0000 0.0000 0.0000
La2 La 0.0000 0.3051 0.5000
Sc1 Sc 0.0000 0.0000 0.3284
```

# 2
# SiHgCl2

SiHgCl2 at its PBEsol-relaxed geometry (meta-GGA SCAN, Alexandria via LeMat-Bulk).

## Properties
Fermi-level density of states = 0.641 states/eV/f.u.
Uncorrected formation energy = -126 meV per atom
Magnetic moment = 0.00 Bohr magnetons per cell
Total energy = -23.6607 eV per atom
Relative energy among the computed polymorphs = 232 meV per atom

```
data_SiHgCl2
_symmetry_space_group_name_H-M 'C m m m'
_symmetry_Int_Tables_number 65
_symmetry_space_group_name_Hall '-C 2 2'
_cell_length_a 3.597
_cell_length_b 5.375
_cell_length_c 9.389
_cell_angle_alpha 90.00
_cell_angle_beta 90.00
_cell_angle_gamma 90.00
loop_
_atom_site_label
_atom_site_type_symbol
_atom_site_fract_x
_atom_site_fract_y
_atom_site_fract_z
Si1 Si 0.000 0.000 0.000
Hg1 Hg 0.000 0.000 0.500
Cl1 Cl 0.000 0.500 0.187
```

# 3
# SiNi8

SiNi8 at its PBEsol-relaxed geometry (meta-GGA SCAN, Alexandria via LeMat-Bulk).

## Properties
Fermi-level density of states = 6.855 states/eV/f.u.
Uncorrected formation energy = -181 meV per atom
Magnetic moment = 8.05 Bohr magnetons per cell
Total energy = -15.6704 eV per atom

```
data_SiNi8
_symmetry_space_group_name_H-M 'I 4/m m m'
_symmetry_Int_Tables_number 139
_symmetry_space_group_name_Hall '-I 4 2'
_cell_length_a 7.313
_cell_length_b 7.313
_cell_length_c 3.474
_cell_angle_alpha 90.00
_cell_angle_beta 90.00
_cell_angle_gamma 90.00
loop_
_atom_site_label
_atom_site_type_symbol
_atom_site_fract_x
_atom_site_fract_y
_atom_site_fract_z
Si1 Si 0.000 0.000 0.000
Ni1 Ni 0.000 0.332 0.000
Ni2 Ni 0.165 0.165 0.500
```

# 4
# Ca3MnB

Ca3MnB at its PBEsol-relaxed geometry (meta-GGA SCAN, Alexandria via LeMat-Bulk).

## Properties
Fermi-level density of states = 6.193 states/eV/f.u.
Energy of formation = 0.397 eV/atom
Magnetic moment = 2.82 Bohr magnetons per cell
Total energy = -10.5380 eV per atom

```
data_Ca3MnB
_symmetry_space_group_name_H-M 'P m -3 m'
_symmetry_Int_Tables_number 221
_symmetry_space_group_name_Hall '-P 4 2 3'
_cell_length_a 5.199
_cell_length_b 5.199
_cell_length_c 5.199
_cell_angle_alpha 90.00
_cell_angle_beta 90.00
_cell_angle_gamma 90.00
loop_
_atom_site_label
_atom_site_type_symbol
_atom_site_fract_x
_atom_site_fract_y
_atom_site_fract_z
Ca1 Ca 0.000 0.000 0.500
Mn1 Mn 0.500 0.500 0.500
B1 B 0.000 0.000 0.000
```

# 5
# RhPb2Br

RhPb2Br at its PBEsol-relaxed geometry (meta-GGA SCAN, Alexandria via LeMat-Bulk).

## Properties
Fermi-level density of states = 1.348 states/eV/f.u.
Uncorrected formation energy = 296 meV per atom
Magnetic moment = 0.00 Bohr magnetons per cell
Total energy = -50.9028 eV per atom
Relative energy among the computed polymorphs = 466 meV per atom

```
data_RhPb2Br
_symmetry_space_group_name_H-M 'I -4 m 2'
_symmetry_Int_Tables_number 119
_symmetry_space_group_name_Hall 'I -4 -2'
_cell_length_a 4.082
_cell_length_b 4.082
_cell_length_c 11.589
_cell_angle_alpha 90.00
_cell_angle_beta 90.00
_cell_angle_gamma 90.00
loop_
_atom_site_label
_atom_site_type_symbol
_atom_site_fract_x
_atom_site_fract_y
_atom_site_fract_z
Rh1 Rh 0.000 0.000 0.000
Pb1 Pb 0.000 0.000 0.500
Pb2 Pb 0.000 0.500 0.750
Br1 Br 0.000 0.500 0.250
```

# 6
# Ca2NiRh

Ca2NiRh at its PBEsol-relaxed geometry (meta-GGA SCAN, Alexandria via LeMat-Bulk).

## Properties
Fermi-level density of states = 3.518 states/eV/f.u.
Energy of formation = -0.082 eV/atom
Magnetic moment = 0.01 Bohr magnetons per cell
Total energy = -17.3998 eV per atom

```
data_Ca2NiRh
_symmetry_space_group_name_H-M 'I m m 2'
_symmetry_Int_Tables_number 44
_cell_length_a 3.304
_cell_length_b 4.610
_cell_length_c 10.293
_cell_angle_alpha 90.00
_cell_angle_beta 90.00
_cell_angle_gamma 90.00
loop_
_symmetry_equiv_pos_as_xyz
'x,y,z'
'-x,-y,z'
'-x,y,z'
'x,-y,z'
'x+1/2,y+1/2,z+1/2'
'-x+1/2,-y+1/2,z+1/2'
'-x+1/2,y+1/2,z+1/2'
'x+1/2,-y+1/2,z+1/2'
loop_
_atom_site_label
_atom_site_type_symbol
_atom_site_fract_x
_atom_site_fract_y
_atom_site_fract_z
Ca1 Ca 0.000 0.000 0.000
Ca2 Ca 0.000 0.500 0.214
Ni1 Ni 0.000 0.500 0.765
Rh1 Rh 0.000 0.000 0.444
```

# 7
# La2O3

La2O3 at its PBEsol-relaxed geometry (meta-GGA SCAN, Alexandria via LeMat-Bulk).

## Properties
Fermi-level density of states = 0.000 states/eV/f.u.
Uncorrected formation energy = -3752 meV per atom
Magnetic moment = 0.00 Bohr magnetons per cell
Total energy = -24.7323 eV per atom

```
data_La2O3
_symmetry_space_group_name_H-M 'P -3 m 1'
_symmetry_Int_Tables_number 164
_symmetry_space_group_name_Hall '-P 3 2"'
_cell_length_a 3.9047
_cell_length_b 3.9047
_cell_length_c 6.0302
_cell_angle_alpha 90.00
_cell_angle_beta 90.00
_cell_angle_gamma 120.00
loop_
_atom_site_label
_atom_site_type_symbol
_atom_site_fract_x
_atom_site_fract_y
_atom_site_fract_z
La1 La 0.3333 0.6667 0.2454
O1 O 0.0000 0.0000 0.0000
O2 O 0.3333 0.6667 0.6460
```

# 8
# Ni2IrPbI

Ni2IrPbI at its PBEsol-relaxed geometry (meta-GGA SCAN, Alexandria via LeMat-Bulk).

## Properties
Fermi-level density of states = 1.600 states/eV/f.u.
Uncorrected formation energy = 1169 meV per atom
Magnetic moment = 0.00 Bohr magnetons per cell
Total energy = -42.0250 eV per atom

```
data_Ni2IrPbI
_symmetry_space_group_name_H-M 'P 4/m m m'
_symmetry_Int_Tables_number 123
_symmetry_space_group_name_Hall '-P 4 2'
_cell_length_a 4.576
_cell_length_b 4.576
_cell_length_c 4.959
_cell_angle_alpha 90.00
_cell_angle_beta 90.00
_cell_angle_gamma 90.00
loop_
_atom_site_label
_atom_site_type_symbol
_atom_site_fract_x
_atom_site_fract_y
_atom_site_fract_z
Ni1 Ni 0.000 0.500 0.000
Ir1 Ir 0.000 0.000 0.500
Pb1 Pb 0.500 0.500 0.500
I1 I 0.000 0.000 0.000
```

# 9
# CuSiAg2

CuSiAg2 at its PBEsol-relaxed geometry (meta-GGA SCAN, Alexandria via LeMat-Bulk).

## Properties
Fermi-level density of states = 1.178 states/eV/f.u.
Uncorrected formation energy = 251 meV per atom
Magnetic moment = 0.00 Bohr magnetons per cell
Total energy = -21.7359 eV per atom

```
data_CuSiAg2
_symmetry_space_group_name_H-M 'P m m m'
_symmetry_Int_Tables_number 47
_cell_length_a 2.772
_cell_length_b 3.929
_cell_length_c 5.428
_cell_angle_alpha 90.00
_cell_angle_beta 90.00
_cell_angle_gamma 90.00
loop_
_symmetry_equiv_pos_as_xyz
'x,y,z'
'-x,-y,-z'
'-x,-y,z'
'x,y,-z'
'x,-y,-z'
'-x,y,z'
'-x,y,-z'
'x,-y,z'
loop_
_atom_site_label
_atom_site_type_symbol
_atom_site_fract_x
_atom_site_fract_y
_atom_site_fract_z
Cu1 Cu 0.000 0.000 0.000
Si1 Si 0.000 0.000 0.500
Ag1 Ag 0.500 0.500 0.247
```

# 10
# LiRuI2O

LiRuI2O at its PBEsol-relaxed geometry (meta-GGA SCAN, Alexandria via LeMat-Bulk).

## Properties
Fermi-level density of states = 1.281 states/eV/f.u.
Uncorrected formation energy = -573 meV per atom
Magnetic moment = 0.00 Bohr magnetons per cell
Total energy = -23.9589 eV per atom

```
data_LiRuI2O
_symmetry_space_group_name_H-M 'P 4/m m m'
_symmetry_Int_Tables_number 123
_symmetry_space_group_name_Hall '-P 4 2'
_cell_length_a 5.544
_cell_length_b 5.544
_cell_length_c 3.692
_cell_angle_alpha 90.00
_cell_angle_beta 90.00
_cell_angle_gamma 90.00
loop_
_atom_site_label
_atom_site_type_symbol
_atom_site_fract_x
_atom_site_fract_y
_atom_site_fract_z
Li1 Li 0.000 0.000 0.000
Ru1 Ru 0.500 0.500 0.500
I1 I 0.000 0.500 0.500
O1 O 0.500 0.500 0.000
```

# 11
# Na2LiScF6

Na2LiScF6 at its PBEsol-relaxed geometry (meta-GGA SCAN, Alexandria via LeMat-Bulk).

## Properties
Fermi-level density of states = 0.000 states/eV/f.u.
Uncorrected formation energy = -3441 meV per atom
Magnetic moment = 0.00 Bohr magnetons per cell
Total energy = -8.0702 eV per atom

```
data_Na2LiScF6
_symmetry_space_group_name_H-M 'F m -3 m'
_symmetry_Int_Tables_number 225
_symmetry_space_group_name_Hall '-F 4 2 3'
_cell_length_a 7.900
_cell_length_b 7.900
_cell_length_c 7.900
_cell_angle_alpha 90.00
_cell_angle_beta 90.00
_cell_angle_gamma 90.00
loop_
_atom_site_label
_atom_site_type_symbol
_atom_site_fract_x
_atom_site_fract_y
_atom_site_fract_z
Na1 Na 0.250 0.250 0.250
Li1 Li 0.000 0.000 0.000
Sc1 Sc 0.000 0.000 0.500
F1 F 0.000 0.000 0.248
```

# 12
# BaTaIn2

BaTaIn2 at its PBEsol-relaxed geometry (meta-GGA SCAN, Alexandria via LeMat-Bulk).

## Properties
Fermi-level density of states = 2.480 states/eV/f.u.
Energy of formation = 0.477 eV/atom
Magnetic moment = 0.00 Bohr magnetons per cell
Total energy = -42.7500 eV per atom
Relative energy among the computed polymorphs = 203 meV per atom

```
data_BaTaIn2
_symmetry_space_group_name_H-M 'P 4/m m m'
_symmetry_Int_Tables_number 123
_symmetry_space_group_name_Hall '-P 4 2'
_cell_length_a 5.711
_cell_length_b 5.711
_cell_length_c 3.023
_cell_angle_alpha 90.00
_cell_angle_beta 90.00
_cell_angle_gamma 90.00
loop_
_atom_site_label
_atom_site_type_symbol
_atom_site_fract_x
_atom_site_fract_y
_atom_site_fract_z
Ba1 Ba 0.000 0.000 0.000
Ta1 Ta 0.500 0.500 0.000
In1 In 0.000 0.500 0.500
```

Question: What is the Fermi-level density of states in the sixth record?
Answer: 3.518 states/eV/f.u.

Question: What is the total energy in the sixth record?
Answer: -17.3998 eV per atom

Question: What is the formula in the sixth record?
Answer: Ca2NiRh